# CsKRb10 | the Alexandria database | PBE | optimized geometry
data_CsKRb10
_chemical_formula_sum 'Cs1 K1 Rb10'
_space_group_name_H-M_alt 'P m m m'
_space_group_IT_number 47
_space_group_name_Hall '-P 2 2'
_cell_length_a 8.177
_cell_length_b 9.224
_cell_length_c 16.083
_cell_angle_alpha 90.00
_cell_angle_beta 90.00
_cell_angle_gamma 90.00
loop_
_atom_site_label
_atom_site_type_symbol
_atom_site_fract_x
_atom_site_fract_y
_atom_site_fract_z
Cs1 Cs 0.000 0.000 0.000
K1 K 0.000 0.500 0.500
Rb1 Rb 0.000 0.000 0.339
Rb2 Rb 0.000 0.500 0.172
Rb3 Rb 0.500 0.000 0.500
Rb4 Rb 0.500 0.251 0.253
Rb5 Rb 0.500 0.500 0.000
# **Energy of formation from the pure elements**: 0.0585 eV per atom
# **Theoretical density**: 1.41 g/cm³